An optimized crystal structure of CaSi3I, computed with PBE.

## Properties
DOS(E_F) in states/eV per cell: 5.562
Offset from the most stable computed form in meV/atom: 317
Formation energy without anion corrections in eV per atom: 1.39
Volume in A^3/atom: 34.27
Total magnetization in μB/f.u.: 0.8

abc: 5.5541 5.5541 5.5541
angles: 90.00 90.00 90.00
Element x y z (fractional)
Ca (0.0000, 0.0000, 0.0000)
Si (0.0000, 0.0000, 0.5000)
Si (0.0000, 0.5000, 0.0000)
Si (0.5000, 0.0000, 0.0000)
I (0.5000, 0.5000, 0.5000)